Record 1
Here is crystalline ReAuS at its relaxed geometry from Alexandria. Energies are from GGA-PBE. Values from VASP.

Results
* electronic total energy: -6.522 eV/atom

```
&SYSTEM
  ibrav = 0, nat = 6, ntyp = 3
/
ATOMIC_SPECIES
Re 186.21 Re.upf
S 32.06 S.upf
Au 196.97 Au.upf
CELL_PARAMETERS angstrom
-1.8216 -2.4157 -0.3591
0.9563 -1.9303 -4.7901
4.5296 -5.6563 2.1479
ATOMIC_POSITIONS crystal
Re 0.3783 0.7658 0.4776
Re 0.6217 0.2342 0.5224
S 0.8841 0.9584 0.2733
S 0.1159 0.0416 0.7267
Au 0.6866 0.4677 0.1590
Au 0.3134 0.5323 0.8410
```

=====

Record 2
Here is crystalline ReAuS2 at its relaxed geometry from Alexandria. Energies are from GGA-PBE. Values from VASP.

Results
* polymorph energy (0 for the lowest one): 265.3 meV per atom

```
&SYSTEM
  ibrav = 0, nat = 8, ntyp = 3
/
ATOMIC_SPECIES
Re 186.21 Re.upf
S 32.06 S.upf
Au 196.97 Au.upf
CELL_PARAMETERS angstrom
5.5177 0.0000 0.0000
0.0000 5.5177 0.0000
2.7588 2.7588 5.4679
ATOMIC_POSITIONS crystal
Re 0.2500 0.7500 0.5000
Re 0.5000 0.5000 0.0000
S 0.8750 0.8346 0.7500
S 0.3750 0.4154 0.7500
S 0.5846 0.1250 0.2500
S 0.1654 0.6250 0.2500
Au 0.7500 0.2500 0.5000
Au 0.0000 0.0000 0.0000
```

=====

Record 3
Here is crystalline ReAuS2 at its relaxed geometry from Alexandria. Energies are from GGA-PBE. Values from VASP.

Results
* polymorph energy (0 for the lowest one): 0.0 meV per atom

```
&SYSTEM
  ibrav = 0, nat = 4, ntyp = 3
/
ATOMIC_SPECIES
S 32.06 S.upf
Re 186.21 Re.upf
Au 196.97 Au.upf
CELL_PARAMETERS angstrom
1.8665 0.0000 7.8582
-0.9332 1.6164 7.8582
-0.9332 -1.6164 7.8582
ATOMIC_POSITIONS crystal
S 0.8984 0.8984 0.8984
S 0.1016 0.1016 0.1016
Re 0.5000 0.5000 0.5000
Au 0.0000 0.0000 0.0000
```

=====

Record 4
Here is crystalline ReAu3S at its relaxed geometry from Alexandria. Energies are from GGA-PBE. Values from VASP.

Results
* polymorph energy (0 for the lowest one): 210.5 meV per atom

```
&SYSTEM
  ibrav = 0, nat = 5, ntyp = 3
/
ATOMIC_SPECIES
Re 186.21 Re.upf
S 32.06 S.upf
Au 196.97 Au.upf
CELL_PARAMETERS angstrom
5.0109 0.0000 0.0000
0.0000 5.0109 0.0000
0.0000 0.0000 5.0109
ATOMIC_POSITIONS crystal
Re 0.0000 0.0000 0.0000
S 0.5000 0.5000 0.5000
Au 0.5000 0.0000 0.0000
Au 0.0000 0.5000 0.0000
Au 0.0000 0.0000 0.5000
```

=====

Please write out number 3 again, unchanged.
Here is crystalline ReAuS2 at its relaxed geometry from Alexandria. Energies are from GGA-PBE. Values from VASP.

Results
* polymorph energy (0 for the lowest one): 0.0 meV per atom

```
&SYSTEM
  ibrav = 0, nat = 4, ntyp = 3
/
ATOMIC_SPECIES
S 32.06 S.upf
Re 186.21 Re.upf
Au 196.97 Au.upf
CELL_PARAMETERS angstrom
1.8665 0.0000 7.8582
-0.9332 1.6164 7.8582
-0.9332 -1.6164 7.8582
ATOMIC_POSITIONS crystal
S 0.8984 0.8984 0.8984
S 0.1016 0.1016 0.1016
Re 0.5000 0.5000 0.5000
Au 0.0000 0.0000 0.0000
```